[1]
DFT (PBE) results for Th2BeGe2Au4 after structural relaxation.

Properties
DOS at the Fermi energy ... 0.307 states/eV/atom
M_tot ... 0.00 μB/f.u.
E_form ... -476 meV per atom
Space group ... No. 139

abc: 6.535 6.535 6.535
angles: 84.44 123.26 123.26
Atoms (fractional coordinates):
Th 0.500 0.750 0.250
Th 0.500 0.250 0.750
Au 0.000 0.741 0.259
Au 0.482 0.741 0.741
Au 0.000 0.259 0.741
Au 0.518 0.259 0.259
Ge 0.000 0.301 0.301
Ge 0.000 0.699 0.699
Be 0.000 0.000 0.000


[2]
DFT (PBE) results for BeGeWAu2 after structural relaxation.

Properties
DOS at the Fermi energy ... 0.587 states/eV/atom
M_tot ... 0.46 μB/f.u.
E_form ... 642 meV per atom
Space group ... No. 123

abc: 4.309 4.510 4.309
angles: 90.00 90.00 90.00
Site moments in Bohr magnetons follow the coordinates.
Atoms (fractional coordinates):
Be 0.000 0.000 0.000  0.00
Au 0.000 0.000 0.500  0.00
Au 0.500 0.000 0.000  0.00
W 0.000 0.500 0.000  0.36
Ge 0.500 0.500 0.500  0.00


[3]
DFT (PBE) results for Y2BeGe2Au4 after structural relaxation.

Properties
DOS at the Fermi energy ... 0.410 states/eV/atom
M_tot ... 0.00 μB/f.u.
E_form ... -502 meV per atom
Space group ... No. 139

abc: 6.344 6.344 6.344
angles: 86.77 121.88 121.88
Atoms (fractional coordinates):
Au 0.000 0.261 0.739
Au 0.479 0.739 0.739
Au 0.521 0.261 0.261
Au 0.000 0.739 0.261
Ge 0.000 0.289 0.289
Ge 0.000 0.711 0.711
Be 0.000 0.000 0.000
Y 0.500 0.750 0.250
Y 0.500 0.250 0.750


[4]
DFT (PBE) results for BeH3Au after structural relaxation.

Properties
DOS at the Fermi energy ... 0.314 states/eV/atom
Relative energy among the computed polymorphs ... 81 meV/atom
M_tot ... 0.00 μB/f.u.
Space group ... No. 221

abc: 3.654 3.654 3.654
angles: 90.00 90.00 90.00
Atoms (fractional coordinates):
H 0.000 0.500 0.000
H 0.000 0.000 0.500
H 0.500 0.000 0.000
Au 0.000 0.000 0.000
Be 0.500 0.500 0.500


[5]
DFT (PBE) results for BeH3Au after structural relaxation.

Properties
DOS at the Fermi energy ... 0.088 states/eV/atom
Relative energy among the computed polymorphs ... 0 meV/atom
M_tot ... 0.00 μB/f.u.
Space group ... No. 221

abc: 3.419 3.419 3.419
angles: 90.00 90.00 90.00
Atoms (fractional coordinates):
H 0.000 0.500 0.000
H 0.500 0.000 0.000
H 0.000 0.000 0.500
Au 0.500 0.500 0.500
Be 0.000 0.000 0.000


[6]
DFT (PBE) results for Be2H6Au after structural relaxation.

Properties
DOS at the Fermi energy ... 0.325 states/eV/atom
M_tot ... 0.00 μB/f.u.
Total DFT energy (no corrections) ... -0.09826 Ha/atom
Space group ... No. 225

abc: 4.298 4.298 4.298
angles: 60.00 60.00 60.00
Atoms (fractional coordinates):
H 0.313 0.313 0.687
H 0.687 0.313 0.313
H 0.313 0.687 0.313
H 0.687 0.313 0.687
H 0.313 0.687 0.687
H 0.687 0.687 0.313
Be 0.750 0.750 0.750
Be 0.250 0.250 0.250
Au 0.000 0.000 0.000


Q: Which value of DOS at the Fermi energy does entry 6 give?
A: 0.325 states/eV/atom